# 1
# GGA-PBE PuMnV2, relaxed
data_PuMnV2
_chemical_formula_sum 'Pu1 Mn1 V2'
_symmetry_space_group_name_H-M 'P 1'
_symmetry_Int_Tables_number 1
_cell_length_a 4.355
_cell_length_b 4.355
_cell_length_c 4.355
_cell_angle_alpha 60.00
_cell_angle_beta 60.00
_cell_angle_gamma 60.00
loop_
_symmetry_equiv_pos_as_xyz
'x,y,z'
loop_
_atom_site_label
_atom_site_type_symbol
_atom_site_fract_x
_atom_site_fract_y
_atom_site_fract_z
Pu1 Pu 0.000 0.000 0.000
V1 V 0.750 0.750 0.750
Mn1 Mn 0.500 0.500 0.500
V2 V 0.250 0.250 0.250
# SG ... Fm-3m (225)
# Energy of formation ... 0.23 eV/atom
# Size of the total moment ... 3.25 μB/f.u.
# Energy above the most stable polymorph in this dataset ... 0.114 eV/atom

=====

# 2
# GGA-PBE Pu2MnV, relaxed
data_Pu2MnV
_chemical_formula_sum 'Pu2 Mn1 V1'
_symmetry_space_group_name_H-M 'P 1'
_symmetry_Int_Tables_number 1
_cell_length_a 5.057
_cell_length_b 3.466
_cell_length_c 3.466
_cell_angle_alpha 90.00
_cell_angle_beta 90.00
_cell_angle_gamma 90.00
loop_
_symmetry_equiv_pos_as_xyz
'x,y,z'
loop_
_atom_site_label
_atom_site_type_symbol
_atom_site_fract_x
_atom_site_fract_y
_atom_site_fract_z
Pu1 Pu 0.000 0.500 0.000
V1 V 0.500 0.000 0.000
Pu2 Pu 0.000 0.000 0.500
Mn1 Mn 0.500 0.500 0.500
# SG ... P4/mmm (123)
# Energy of formation ... 0.42 eV/atom
# Size of the total moment ... 0.37 μB/f.u.
# Energy above the most stable polymorph in this dataset ... 0.133 eV/atom

=====

# 3
# GGA-PBE Pu2MnV, relaxed
data_Pu2MnV
_chemical_formula_sum 'Pu2 Mn1 V1'
_symmetry_space_group_name_H-M 'P 1'
_symmetry_Int_Tables_number 1
_cell_length_a 3.460
_cell_length_b 3.460
_cell_length_c 6.319
_cell_angle_alpha 90.00
_cell_angle_beta 90.00
_cell_angle_gamma 90.00
loop_
_symmetry_equiv_pos_as_xyz
'x,y,z'
loop_
_atom_site_label
_atom_site_type_symbol
_atom_site_fract_x
_atom_site_fract_y
_atom_site_fract_z
V1 V 0.500 0.500 0.000
Mn1 Mn 0.500 0.500 0.500
Pu1 Pu 0.000 0.000 0.742
Pu2 Pu 0.000 0.000 0.258
# SG ... P4/mmm (123)
# Energy of formation ... 0.28 eV/atom
# Size of the total moment ... 5.23 μB/f.u.
# Energy above the most stable polymorph in this dataset ... 0.000 eV/atom

=====

# 4
# GGA-PBE Pu2MnV, relaxed
data_Pu2MnV
_chemical_formula_sum 'Pu2 Mn1 V1'
_symmetry_space_group_name_H-M 'P 1'
_symmetry_Int_Tables_number 1
_cell_length_a 2.888
_cell_length_b 2.888
_cell_length_c 10.073
_cell_angle_alpha 81.76
_cell_angle_beta 81.76
_cell_angle_gamma 60.00
loop_
_symmetry_equiv_pos_as_xyz
'x,y,z'
loop_
_atom_site_label
_atom_site_type_symbol
_atom_site_fract_x
_atom_site_fract_y
_atom_site_fract_z
Pu1 Pu 0.086 0.086 0.743
V1 V 0.000 0.000 0.000
Mn1 Mn 0.500 0.500 0.500
Pu2 Pu 0.914 0.914 0.257
# SG ... R-3m (166)
# Energy of formation ... 0.57 eV/atom
# Size of the total moment ... 4.83 μB/f.u.
# Energy above the most stable polymorph in this dataset ... 0.290 eV/atom

=====

# 5
# GGA-PBE PuMnV2, relaxed
data_PuMnV2
_chemical_formula_sum 'Pu1 Mn1 V2'
_symmetry_space_group_name_H-M 'P 1'
_symmetry_Int_Tables_number 1
_cell_length_a 2.888
_cell_length_b 2.888
_cell_length_c 7.196
_cell_angle_alpha 90.00
_cell_angle_beta 90.00
_cell_angle_gamma 90.00
loop_
_symmetry_equiv_pos_as_xyz
'x,y,z'
loop_
_atom_site_label
_atom_site_type_symbol
_atom_site_fract_x
_atom_site_fract_y
_atom_site_fract_z
Pu1 Pu 0.500 0.500 0.500
V1 V 0.000 0.000 0.803
Mn1 Mn 0.500 0.500 0.000
V2 V 0.000 0.000 0.197
# SG ... P4/mmm (123)
# Energy of formation ... 0.11 eV/atom
# Size of the total moment ... 3.91 μB/f.u.
# Energy above the most stable polymorph in this dataset ... 0.000 eV/atom

=====

# 6
# GGA-PBE PuMn4W, relaxed
data_PuMn4W
_chemical_formula_sum 'Pu1 Mn4 W1'
_symmetry_space_group_name_H-M 'P 1'
_symmetry_Int_Tables_number 1
_cell_length_a 4.890
_cell_length_b 4.890
_cell_length_c 4.890
_cell_angle_alpha 60.00
_cell_angle_beta 60.00
_cell_angle_gamma 60.00
loop_
_symmetry_equiv_pos_as_xyz
'x,y,z'
loop_
_atom_site_label
_atom_site_type_symbol
_atom_site_fract_x
_atom_site_fract_y
_atom_site_fract_z
Mn1 Mn 0.127 0.624 0.624
Mn2 Mn 0.624 0.624 0.127
Mn3 Mn 0.624 0.127 0.624
W1 W 0.250 0.250 0.250
Pu1 Pu 0.000 0.000 0.000
Mn4 Mn 0.624 0.624 0.624
# SG ... F-43m (216)
# Energy of formation ... 0.21 eV/atom
# Size of the total moment ... 2.81 μB/f.u.

=====

# 7
# GGA-PBE PuMn2W, relaxed
data_PuMn2W
_chemical_formula_sum 'Pu1 Mn2 W1'
_symmetry_space_group_name_H-M 'P 1'
_symmetry_Int_Tables_number 1
_cell_length_a 2.996
_cell_length_b 2.996
_cell_length_c 7.098
_cell_angle_alpha 90.00
_cell_angle_beta 90.00
_cell_angle_gamma 90.00
loop_
_symmetry_equiv_pos_as_xyz
'x,y,z'
loop_
_atom_site_label
_atom_site_type_symbol
_atom_site_fract_x
_atom_site_fract_y
_atom_site_fract_z
Pu1 Pu 0.500 0.500 0.500
Mn1 Mn 0.000 0.000 0.211
Mn2 Mn 0.000 0.000 0.789
W1 W 0.500 0.500 0.000
# SG ... P4/mmm (123)
# Energy of formation ... 0.14 eV/atom
# Size of the total moment ... 1.66 μB/f.u.

=====

# 8
# GGA-PBE YPu2Mn2, relaxed
data_YPu2Mn2
_chemical_formula_sum 'Y1 Pu2 Mn2'
_symmetry_space_group_name_H-M 'P 1'
_symmetry_Int_Tables_number 1
_cell_length_a 4.051
_cell_length_b 4.051
_cell_length_c 6.864
_cell_angle_alpha 64.74
_cell_angle_beta 64.74
_cell_angle_gamma 82.33
loop_
_symmetry_equiv_pos_as_xyz
'x,y,z'
loop_
_atom_site_label
_atom_site_type_symbol
_atom_site_fract_x
_atom_site_fract_y
_atom_site_fract_z
Mn1 Mn 0.679 0.679 0.752
Mn2 Mn 0.321 0.321 0.248
Pu1 Pu 0.280 0.720 0.500
Pu2 Pu 0.720 0.280 0.500
Y1 Y 0.000 0.000 0.000
# SG ... C2/m (12)
# Energy of formation ... 0.38 eV/atom
# Size of the total moment ... 0.00 μB/f.u.

=====

# 9
# GGA-PBE YPu2Mn, relaxed
data_YPu2Mn
_chemical_formula_sum 'Y1 Pu2 Mn1'
_symmetry_space_group_name_H-M 'P 1'
_symmetry_Int_Tables_number 1
_cell_length_a 4.684
_cell_length_b 4.684
_cell_length_c 5.794
_cell_angle_alpha 66.16
_cell_angle_beta 66.16
_cell_angle_gamma 60.00
loop_
_symmetry_equiv_pos_as_xyz
'x,y,z'
loop_
_atom_site_label
_atom_site_type_symbol
_atom_site_fract_x
_atom_site_fract_y
_atom_site_fract_z
Pu1 Pu 0.279 0.279 0.162
Pu2 Pu 0.721 0.721 0.838
Y1 Y 0.500 0.500 0.500
Mn1 Mn 0.000 0.000 0.000
# SG ... R-3m (166)
# Energy of formation ... 0.33 eV/atom
# Size of the total moment ... 9.63 μB/f.u.
# Energy above the most stable polymorph in this dataset ... 0.185 eV/atom

=====

# 10
# GGA-PBE YPuMn4, relaxed
data_YPuMn4
_chemical_formula_sum 'Y1 Pu1 Mn4'
_symmetry_space_group_name_H-M 'P 1'
_symmetry_Int_Tables_number 1
_cell_length_a 5.064
_cell_length_b 5.064
_cell_length_c 5.064
_cell_angle_alpha 60.00
_cell_angle_beta 60.00
_cell_angle_gamma 60.00
loop_
_symmetry_equiv_pos_as_xyz
'x,y,z'
loop_
_atom_site_label
_atom_site_type_symbol
_atom_site_fract_x
_atom_site_fract_y
_atom_site_fract_z
Mn1 Mn 0.126 0.625 0.625
Pu1 Pu 0.250 0.250 0.250
Mn2 Mn 0.625 0.625 0.625
Mn3 Mn 0.625 0.625 0.126
Y1 Y 0.000 0.000 0.000
Mn4 Mn 0.625 0.126 0.625
# SG ... F-43m (216)
# Energy of formation ... 0.20 eV/atom
# Size of the total moment ... 6.74 μB/f.u.

=====

# 11
# GGA-PBE YPuMn, relaxed
data_YPuMn
_chemical_formula_sum 'Y1 Pu1 Mn1'
_symmetry_space_group_name_H-M 'P 1'
_symmetry_Int_Tables_number 1
_cell_length_a 3.458
_cell_length_b 3.458
_cell_length_c 6.186
_cell_angle_alpha 106.23
_cell_angle_beta 106.23
_cell_angle_gamma 90.00
loop_
_symmetry_equiv_pos_as_xyz
'x,y,z'
loop_
_atom_site_label
_atom_site_type_symbol
_atom_site_fract_x
_atom_site_fract_y
_atom_site_fract_z
Pu1 Pu 0.298 0.298 0.595
Y1 Y 0.014 0.014 0.028
Mn1 Mn 0.689 0.689 0.377
# SG ... I4mm (107)
# Energy of formation ... 0.12 eV/atom
# Size of the total moment ... 3.58 μB/f.u.
# Energy above the most stable polymorph in this dataset ... 0.000 eV/atom

=====

# 12
# GGA-PBE YPu3Mn3, relaxed
data_YPu3Mn3
_chemical_formula_sum 'Y2 Pu6 Mn6'
_symmetry_space_group_name_H-M 'P 1'
_symmetry_Int_Tables_number 1
_cell_length_a 6.761
_cell_length_b 6.761
_cell_length_c 6.761
_cell_angle_alpha 90.00
_cell_angle_beta 90.00
_cell_angle_gamma 90.00
loop_
_symmetry_equiv_pos_as_xyz
'x,y,z'
loop_
_atom_site_label
_atom_site_type_symbol
_atom_site_fract_x
_atom_site_fract_y
_atom_site_fract_z
Y1 Y 0.500 0.500 0.500
Pu1 Pu 0.750 0.000 0.500
Mn1 Mn 0.500 0.000 0.750
Y2 Y 0.000 0.000 0.000
Mn2 Mn 0.250 0.500 0.000
Mn3 Mn 0.000 0.750 0.500
Pu2 Pu 0.500 0.750 0.000
Pu3 Pu 0.000 0.500 0.250
Mn4 Mn 0.500 0.000 0.250
Pu4 Pu 0.500 0.250 0.000
Mn5 Mn 0.750 0.500 0.000
Pu5 Pu 0.250 0.000 0.500
Pu6 Pu 0.000 0.500 0.750
Mn6 Mn 0.000 0.250 0.500
# SG ... Pm-3n (223)
# Energy of formation ... 0.63 eV/atom
# Size of the total moment ... 11.86 μB/f.u.

=====

# 13
# GGA-PBE YPuMn2, relaxed
data_YPuMn2
_chemical_formula_sum 'Y1 Pu1 Mn2'
_symmetry_space_group_name_H-M 'P 1'
_symmetry_Int_Tables_number 1
_cell_length_a 3.410
_cell_length_b 3.410
_cell_length_c 6.799
_cell_angle_alpha 90.00
_cell_angle_beta 90.00
_cell_angle_gamma 90.00
loop_
_symmetry_equiv_pos_as_xyz
'x,y,z'
loop_
_atom_site_label
_atom_site_type_symbol
_atom_site_fract_x
_atom_site_fract_y
_atom_site_fract_z
Pu1 Pu 0.500 0.500 0.000
Y1 Y 0.500 0.500 0.500
Mn1 Mn 0.000 0.000 0.205
Mn2 Mn 0.000 0.000 0.795
# SG ... P4/mmm (123)
# Energy of formation ... 0.06 eV/atom
# Size of the total moment ... 0.05 μB/f.u.